(1)
A plane-wave DFT calculation with PBE-GGA was carried out for an optimized crystal structure of RbSiSe2Br.

Cell lengths 6.1457, 6.1457, 6.0773 Å; angles 90.00, 90.00, 90.00 degrees
With the nearest neighbours (Å) after each atom.
Sites, in units of the cell vectors:
1 Rb 0.0000 0.0000 0.0000  2 Br 3.04, 4 Se 3.07
2 Si 0.5000 0.5000 0.5000  8 Se 4.32, 4 Br 4.35
3 Se 0.0000 0.5000 0.0000  2 Rb 3.07
4 Se 0.5000 0.0000 0.0000  2 Rb 3.07
5 Br 0.0000 0.0000 0.5000  2 Rb 3.04

## Properties
* total magnetization: 2.0 μB per cell
* mass density: 2.5 g/cm³
* energy relative to the lowest polymorph listed for this composition: 1541.9 meV per atom
* formation energy (no corrections): 1.04 eV/atom



(2)
A plane-wave DFT calculation with PBE-GGA was carried out for an optimized crystal structure of RbSiSeBr2.

Cell lengths 6.1916, 6.1916, 6.1697 Å; angles 90.00, 90.00, 90.00 degrees
With the nearest neighbours (Å) after each atom.
Sites, in units of the cell vectors:
1 Rb 0.0000 0.0000 0.0000  2 Se 3.08, 4 Br 3.10
2 Si 0.5000 0.5000 0.5000  8 Br 4.37, 4 Se 4.38
3 Se 0.0000 0.0000 0.5000  2 Rb 3.08
4 Br 0.0000 0.5000 0.0000  2 Rb 3.10
5 Br 0.5000 0.0000 0.0000  2 Rb 3.10

## Properties
* total magnetization: 1.0 μB per cell
* mass density: 2.5 g/cm³
* energy relative to the lowest polymorph listed for this composition: 1341.5 meV per atom
* formation energy (no corrections): 0.67 eV/atom



(3)
A plane-wave DFT calculation with PBE-GGA was carried out for an optimized crystal structure of RbSmSeBr.

Cell lengths 4.2285, 4.2285, 8.7488 Å; angles 103.92, 103.92, 60.09 degrees
With the nearest neighbours (Å) after each atom.
Sites, in units of the cell vectors:
1 Rb 0.0000 0.0000 0.0000  3 Se 3.30, 3 Br 3.62
2 Sm 0.1824 0.1824 0.5478  3 Se 2.91, 3 Br 3.11
3 Se 0.5788 0.5788 0.7356  3 Sm 2.91
4 Br 0.7724 0.7724 0.3182  3 Sm 3.11

## Properties
* total magnetization: 0.0 μB per cell
* mass density: 5.0 g/cm³
* formation energy (no corrections): -1.49 eV/atom



(4)
A plane-wave DFT calculation with PBE-GGA was carried out for an optimized crystal structure of RbSrSeBr2.

Cell lengths 6.0015, 6.0015, 5.7094 Å; angles 90.00, 90.00, 90.00 degrees
With the nearest neighbours (Å) after each atom.
Sites, in units of the cell vectors:
1 Rb 0.0000 0.0000 0.0000  2 Se 2.85, 4 Br 3.00
2 Sr 0.5000 0.5000 0.5000  8 Br 4.14, 4 Se 4.24
3 Se 0.0000 0.0000 0.5000  2 Rb 2.85
4 Br 0.0000 0.5000 0.0000  2 Rb 3.00
5 Br 0.5000 0.0000 0.0000  2 Rb 3.00

## Properties
* total magnetization: 0.0 μB per cell
* mass density: 3.3 g/cm³
* energy relative to the lowest polymorph listed for this composition: 643.0 meV per atom
* formation energy (no corrections): -0.79 eV/atom



(5)
A plane-wave DFT calculation with PBE-GGA was carried out for an optimized crystal structure of RbSrSeBr2.

Cell lengths 6.0071, 6.0071, 6.0606 Å; angles 90.00, 90.00, 90.00 degrees
With the nearest neighbours (Å) after each atom.
Sites, in units of the cell vectors:
1 Rb 0.0000 0.0000 0.0000  4 Se 4.25, 8 Br 4.27
2 Sr 0.5000 0.5000 0.5000  4 Br 3.00, 2 Se 3.03
3 Se 0.5000 0.5000 0.0000  2 Sr 3.03
4 Br 0.0000 0.5000 0.5000  2 Sr 3.00
5 Br 0.5000 0.0000 0.5000  2 Sr 3.00

## Properties
* total magnetization: 1.0 μB per cell
* mass density: 3.1 g/cm³
* energy relative to the lowest polymorph listed for this composition: 0.0 meV per atom
* formation energy (no corrections): -1.43 eV/atom



(6)
A plane-wave DFT calculation with PBE-GGA was carried out for an optimized crystal structure of Rb2TaSeBr6.

Cell lengths 8.0784, 8.0784, 8.0784 Å; angles 115.60, 115.60, 97.80 degrees
With the nearest neighbours (Å) after each atom.
Sites, in units of the cell vectors:
1 Rb 0.2500 0.7500 0.5000  12 Br 4.07-4.31
2 Rb 0.7500 0.2500 0.5000  12 Br 4.07-4.31
3 Ta 0.0000 0.0000 0.0000  6 Br 2.56-2.58
4 Se 0.5000 0.5000 0.0000  2 Br 2.75
5 Br 0.2116 0.2116 0.4231  1 Ta 2.58
6 Br 0.2116 0.7884 0.0000  1 Ta 2.58
7 Br 0.2412 0.2412 0.0000  1 Ta 2.56, 1 Se 2.75
8 Br 0.7588 0.7588 0.0000  1 Ta 2.56, 1 Se 2.75
9 Br 0.7884 0.2116 0.0000  1 Ta 2.58
10 Br 0.7884 0.7884 0.5769  1 Ta 2.58

## Properties
* total magnetization: 0.7 μB per cell
* mass density: 3.8 g/cm³
* formation energy (no corrections): -0.89 eV/atom



Which of these has the lowest formation energy (no corrections)?
RbSmSeBr



Which value of mass density does entry 6 give?
3.8 g/cm³



Which of these has the highest total magnetization?
RbSiSe2Br